Crystalline ZrTe2Rh at its relaxed geometry. Source: Alexandria, functional PBE.

abc: 4.108 3.343 7.825
angles: 77.51 90.00 90.00
Fractional coordinates of all 4 atoms:
Te1 0.500 0.145 0.339
Te2 0.000 0.854 0.911
Rh1 0.500 0.968 0.688
Zr1 0.000 0.532 0.562

Properties
Uncorrected energy = -24.63 eV for the cell shown
SG = No. 6
N(E_F) = 1.67 states/eV/f.u.
E_form (uncorrected) = -0.61 eV per atom
Crystal system = monoclinic

---

Crystalline LaCuAu3 at its relaxed geometry. Source: Alexandria, functional PBE.

abc: 5.663 5.663 5.663
angles: 90.00 90.00 90.00
Fractional coordinates of all 5 atoms:
Au1 0.000 0.000 0.500
Au2 0.500 0.000 0.000
Au3 0.000 0.500 0.000
La1 0.000 0.000 0.000
Cu1 0.500 0.500 0.500

Properties
Uncorrected energy = -15.26 eV for the cell shown
SG = No. 221
N(E_F) = 2.38 states/eV/f.u.
Crystal system = cubic
Formation enthalpy at 0 K = 719 meV/atom

---

Crystalline Ta2Ti7Sn at its relaxed geometry. Source: Alexandria, functional PBE.

abc: 4.751 7.478 7.478
angles: 123.86 90.00 90.00
Fractional coordinates of all 10 atoms:
Ti1 0.500 0.721 0.931
Ti2 0.000 0.763 0.237
Ti3 0.500 0.500 0.500
Ti4 0.500 0.931 0.721
Ti5 0.000 0.237 0.763
Ti6 0.500 0.279 0.069
Ti7 0.500 0.069 0.279
Sn1 0.000 0.000 0.000
Ta1 0.500 0.289 0.711
Ta2 0.500 0.711 0.289

Properties
Uncorrected energy = -75.44 eV for the cell shown
SG = No. 65
N(E_F) = 12.36 states/eV/f.u.
Crystal system = orthorhombic
Formation enthalpy at 0 K = 754 meV/atom

---

Crystalline Er6MgAg5 at its relaxed geometry. Source: Alexandria, functional PBE.

abc: 5.139 7.194 8.908
angles: 113.82 106.87 90.00
Fractional coordinates of all 12 atoms:
Er1 0.170 0.916 0.341
Er2 0.170 0.424 0.341
Er3 0.500 0.260 0.000
Er4 0.830 0.084 0.659
Er5 0.830 0.576 0.659
Er6 0.500 0.740 0.000
Mg1 0.000 0.000 0.000
Ag1 0.333 0.333 0.666
Ag2 0.000 0.500 0.000
Ag3 0.667 0.667 0.334
Ag4 0.656 0.156 0.312
Ag5 0.344 0.844 0.688

Properties
Uncorrected energy = -46.60 eV for the cell shown
SG = No. 12
N(E_F) = 6.83 states/eV/f.u.
Crystal system = monoclinic
Formation enthalpy at 0 K = -281 meV/atom

---

Crystalline La8Ru3I3N at its relaxed geometry. Source: Alexandria, functional PBE.

abc: 8.221 8.214 9.633
angles: 115.20 90.05 119.99
Fractional coordinates of all 15 atoms:
La1 0.786 0.571 0.329
La2 0.258 0.043 0.329
La3 0.786 0.043 0.329
La4 0.214 0.957 0.671
La5 0.214 0.429 0.671
La6 0.269 0.539 0.308
La7 0.731 0.461 0.692
La8 0.742 0.957 0.671
N1 0.000 0.000 0.500
Ru1 0.000 0.500 0.500
Ru2 0.500 0.000 0.500
Ru3 0.500 0.500 0.500
I1 0.000 0.000 0.000
I2 0.500 0.500 0.000
I3 0.000 0.500 0.000

Properties
Uncorrected energy = -91.47 eV for the cell shown
SG = No. 12
N(E_F) = 9.57 states/eV/f.u.
E_form (uncorrected) = -0.75 eV per atom
Crystal system = monoclinic

---

Crystalline Er5In3Sn at its relaxed geometry. Source: Alexandria, functional PBE.

abc: 6.543 9.286 9.286
angles: 120.00 90.00 90.00
Fractional coordinates of all 18 atoms:
Er1 0.750 0.720 0.720
Er2 0.500 0.333 0.667
Er3 0.750 0.000 0.280
Er4 0.000 0.667 0.333
Er5 0.750 0.280 0.000
Er6 0.000 0.333 0.667
Er7 0.250 0.000 0.720
Er8 0.250 0.720 0.000
Er9 0.500 0.667 0.333
Er10 0.250 0.280 0.280
Sn1 0.000 0.000 0.000
Sn2 0.500 0.000 0.000
In1 0.750 0.617 0.000
In2 0.750 0.000 0.617
In3 0.250 0.000 0.383
In4 0.250 0.383 0.000
In5 0.250 0.617 0.617
In6 0.750 0.383 0.383

Properties
Uncorrected energy = -78.33 eV for the cell shown
SG = No. 193
N(E_F) = 8.15 states/eV/f.u.
Crystal system = hexagonal
Formation enthalpy at 0 K = -459 meV/atom